Entry 1
A plane-wave DFT calculation with GGA-PBE was carried out for a geometry-optimized Ba3PdPb structure.

Values from the calculation:
**Fermi-level density of states**: 2.062 states/eV/f.u.

Cell: 6.0823 6.0823 6.0823 Å, 90.00 90.00 90.00°
Last column: nearest neighbours and their distance in Å.
Space group Pm-3m (No. 221)
Asymmetric unit:
Ba  0.0000  0.0000  0.5000 x3  2 Pd 3.04
Pd  0.0000  0.0000  0.0000 x1  6 Ba 3.04
Pb  0.5000  0.5000  0.5000 x1  12 Ba 4.30

---

Entry 2
A plane-wave DFT calculation with GGA-PBE was carried out for a geometry-optimized Ba3PdPb structure.

Values from the calculation:
**Fermi-level density of states**: 2.490 states/eV/f.u.

Cell: 11.6098 16.7715 4.4401 Å, 90.00 90.00 90.00°
Last column: nearest neighbours and their distance in Å.
Space group Cmmm (No. 65)
Asymmetric unit:
Ba  0.0000  0.1738  0.0000 x4  2 Pd 3.17
Ba  0.1962  0.3831  0.5000 x8  2 Pd 3.21
Pd  0.2500  0.2500  0.0000 x4  6 Ba 3.17-3.21
Pb  0.0000  0.0000  0.5000 x2  8 Ba 3.66-4.04
Pb  0.0000  0.5000  0.0000 x2  8 Ba 3.74

---

Most stable: entry 2. Least stable: entry 1.